## Li4InAg15 (PBE)

Data for Li4InAg15 after structural relaxation.

Lattice parameters (Å, degrees): 4.2163 4.2163 19.6867 90.00 90.00 90.00
With the nearest neighbours (Å) after each atom.
Fractional coordinates of all 20 atoms:
Li1 0.0000 0.0000 0.2035  12 Ag 2.85-2.98
Li2 0.0000 0.0000 0.4001  12 Ag 2.85-2.98
Li3 0.0000 0.0000 0.5999  12 Ag 2.85-2.98
Li4 0.0000 0.0000 0.7965  12 Ag 2.85-2.98
In1 0.0000 0.0000 0.0000  12 Ag 2.97-2.98
Ag1 0.5000 0.5000 0.0000  8 Ag 2.97, 4 In 2.98
Ag2 0.5000 0.5000 0.2046  8 Ag 2.86-2.87, 4 Li 2.98
Ag3 0.5000 0.5000 0.4015  8 Ag 2.86-2.87, 4 Li 2.98
Ag4 0.5000 0.5000 0.5985  8 Ag 2.86-2.87, 4 Li 2.98
Ag5 0.5000 0.5000 0.7954  8 Ag 2.86-2.87, 4 Li 2.98
Ag6 0.5000 0.0000 0.1059  2 Li 2.85, 8 Ag 2.87-2.98, 2 In 2.97
Ag7 0.5000 0.0000 0.3026  4 Li 2.85-2.87, 8 Ag 2.86-2.98
Ag8 0.5000 0.0000 0.5000  8 Ag 2.86-2.98, 4 Li 2.88
Ag9 0.5000 0.0000 0.6974  4 Li 2.85-2.87, 8 Ag 2.86-2.98
Ag10 0.5000 0.0000 0.8941  2 Li 2.85, 8 Ag 2.87-2.98, 2 In 2.97
Ag11 0.0000 0.5000 0.1059  2 Li 2.85, 8 Ag 2.87-2.98, 2 In 2.97
Ag12 0.0000 0.5000 0.3026  4 Li 2.85-2.87, 8 Ag 2.86-2.98
Ag13 0.0000 0.5000 0.5000  8 Ag 2.86-2.98, 4 Li 2.88
Ag14 0.0000 0.5000 0.6974  4 Li 2.85-2.87, 8 Ag 2.86-2.98
Ag15 0.0000 0.5000 0.8941  2 Li 2.85, 8 Ag 2.87-2.98, 2 In 2.97

Values from the calculation:
ρ: 8.35 g cm⁻³
E: -0.2025 Ry per atom
Crystal system: tetragonal
Space-group type: P4/mmm, No. 123